# 1
VASP calculation (PBE-GGA) on a relaxed Nd2ErHg crystal.

Cell: 5.519 5.519 5.519 Å, 60.00 60.00 60.00°
Atoms (fractional coordinates):
Nd1 0.250 0.250 0.250
Nd2 0.750 0.750 0.750
Er1 0.000 0.000 0.000
Hg1 0.500 0.500 0.500

ΔE_f, eV/f.u.: -0.32



# 2
VASP calculation (PBE-GGA) on a relaxed Nd3ErHg4 crystal.

Cell: 3.775 3.775 15.422 Å, 90.00 90.00 90.00°
Atoms (fractional coordinates):
Nd1 0.000 0.000 0.000
Nd2 0.000 0.000 0.255
Nd3 0.000 0.000 0.745
Er1 0.000 0.000 0.500
Hg1 0.500 0.500 0.127
Hg2 0.500 0.500 0.387
Hg3 0.500 0.500 0.613
Hg4 0.500 0.500 0.873

ΔE_f, eV/f.u.: -3.77



# 3
VASP calculation (PBE-GGA) on a relaxed Nd2ErHg2 crystal.

Cell: 6.049 6.049 6.049 Å, 132.90 108.71 89.91°
Atoms (fractional coordinates):
Nd1 0.194 0.194 0.000
Nd2 0.806 0.806 0.000
Er1 0.500 0.000 0.500
Hg1 0.221 0.500 0.721
Hg2 0.779 0.500 0.279

ΔE_f, eV/f.u.: -1.66



# 4
VASP calculation (PBE-GGA) on a relaxed NdErHg crystal.

Cell: 5.143 5.143 3.891 Å, 90.00 90.00 120.00°
Atoms (fractional coordinates):
Nd1 0.000 0.000 0.000
Er1 0.667 0.333 0.499
Hg1 0.333 0.667 0.506

ΔE_f, eV/f.u.: -0.58



# 5
VASP calculation (PBE-GGA) on a relaxed Nd5ErHg4 crystal.

Cell: 3.803 3.803 20.287 Å, 90.00 90.00 90.00°
Atoms (fractional coordinates):
Nd1 0.000 0.000 0.000
Nd2 0.000 0.000 0.191
Nd3 0.000 0.000 0.382
Nd4 0.000 0.000 0.618
Nd5 0.000 0.000 0.809
Er1 0.500 0.500 0.500
Hg1 0.500 0.500 0.096
Hg2 0.500 0.500 0.289
Hg3 0.500 0.500 0.711
Hg4 0.500 0.500 0.904

ΔE_f, eV/f.u.: -3.61



# 6
VASP calculation (PBE-GGA) on a relaxed NdEr5Hg6 crystal.

Cell: 8.320 8.320 7.467 Å, 90.00 90.00 143.40°
Atoms (fractional coordinates):
Nd1 0.000 0.000 0.000
Er1 0.000 0.000 0.500
Er2 0.331 0.669 0.000
Er3 0.336 0.664 0.500
Er4 0.664 0.336 0.500
Er5 0.669 0.331 0.000
Hg1 0.171 0.829 0.257
Hg2 0.171 0.829 0.743
Hg3 0.500 0.500 0.258
Hg4 0.500 0.500 0.742
Hg5 0.829 0.171 0.257
Hg6 0.829 0.171 0.743

ΔE_f, eV/f.u.: -5.68



# 7
VASP calculation (PBE-GGA) on a relaxed NdEr3Hg4 crystal.

Cell: 5.230 5.230 7.584 Å, 90.00 90.00 90.00°
Atoms (fractional coordinates):
Nd1 0.000 0.000 0.000
Er1 0.000 0.000 0.500
Er2 0.500 0.500 0.000
Er3 0.500 0.500 0.500
Hg1 0.000 0.500 0.262
Hg2 0.000 0.500 0.738
Hg3 0.500 0.000 0.262
Hg4 0.500 0.000 0.738

ΔE_f, eV/f.u.: -3.77



# 8
VASP calculation (PBE-GGA) on a relaxed Nd2ErHg2 crystal.

Cell: 3.770 5.342 14.242 Å, 90.00 97.58 90.00°
Atoms (fractional coordinates):
Nd1 0.046 0.250 0.089
Nd2 0.233 0.250 0.468
Nd3 0.767 0.750 0.532
Nd4 0.954 0.750 0.911
Er1 0.148 0.750 0.294
Er2 0.852 0.250 0.706
Hg1 0.360 0.750 0.719
Hg2 0.442 0.250 0.887
Hg3 0.558 0.750 0.113
Hg4 0.640 0.250 0.281

ΔE_f, eV/f.u.: -1.82



# 9
VASP calculation (PBE-GGA) on a relaxed NdEr2Hg crystal.

Cell: 3.618 3.618 8.902 Å, 90.00 90.00 90.00°
Atoms (fractional coordinates):
Nd1 0.000 0.000 0.000
Er1 0.500 0.500 0.284
Er2 0.500 0.500 0.716
Hg1 0.000 0.000 0.500

ΔE_f, eV/f.u.: -0.95



# 10
VASP calculation (PBE-GGA) on a relaxed Nd12Er5Hg3 crystal.

Cell: 16.050 16.050 16.050 Å, 109.47 109.47 109.47°
Atoms (fractional coordinates):
Nd1 0.071 0.646 0.413
Nd2 0.071 0.926 0.658
Nd3 0.074 0.232 0.146
Nd4 0.074 0.342 0.929
Nd5 0.087 0.732 0.658
Nd6 0.087 0.854 0.429
Nd7 0.146 0.074 0.232
Nd8 0.146 0.571 0.913
Nd9 0.158 0.232 0.587
Nd10 0.158 0.426 0.571
Nd11 0.232 0.146 0.074
Nd12 0.232 0.587 0.158
Nd13 0.268 0.342 0.913
Nd14 0.268 0.426 0.354
Nd15 0.342 0.913 0.268
Nd16 0.342 0.929 0.074
Nd17 0.354 0.268 0.426
Nd18 0.354 0.587 0.929
Nd19 0.413 0.071 0.646
Nd20 0.413 0.842 0.768
Nd21 0.426 0.354 0.268
Nd22 0.426 0.571 0.158
Nd23 0.429 0.087 0.854
Nd24 0.429 0.842 0.574
Nd25 0.571 0.158 0.426
Nd26 0.571 0.913 0.146
Nd27 0.574 0.429 0.842
Nd28 0.574 0.646 0.732
Nd29 0.587 0.158 0.232
Nd30 0.587 0.929 0.354
Nd31 0.646 0.413 0.071
Nd32 0.646 0.732 0.574
Nd33 0.658 0.071 0.926
Nd34 0.658 0.087 0.732
Nd35 0.732 0.574 0.646
Nd36 0.732 0.658 0.087
Nd37 0.768 0.413 0.842
Nd38 0.768 0.854 0.926
Nd39 0.842 0.574 0.429
Nd40 0.842 0.768 0.413
Nd41 0.854 0.429 0.087
Nd42 0.854 0.926 0.768
Nd43 0.913 0.146 0.571
Nd44 0.913 0.268 0.342
Nd45 0.926 0.658 0.071
Nd46 0.926 0.768 0.854
Nd47 0.929 0.074 0.342
Nd48 0.929 0.354 0.587
Er1 0.000 0.000 0.000
Er2 0.000 0.000 0.500
Er3 0.000 0.500 0.000
Er4 0.000 0.500 0.500
Er5 0.125 0.750 0.875
Er6 0.125 0.875 0.250
Er7 0.250 0.125 0.875
Er8 0.250 0.625 0.375
Er9 0.375 0.250 0.625
Er10 0.375 0.625 0.750
Er11 0.500 0.000 0.000
Er12 0.500 0.000 0.500
Er13 0.500 0.500 0.000
Er14 0.500 0.500 0.500
Er15 0.625 0.375 0.250
Er16 0.625 0.750 0.375
Er17 0.750 0.375 0.625
Er18 0.750 0.875 0.125
Er19 0.875 0.125 0.750
Er20 0.875 0.250 0.125
Hg1 0.125 0.250 0.375
Hg2 0.125 0.375 0.750
Hg3 0.250 0.375 0.125
Hg4 0.250 0.875 0.625
Hg5 0.375 0.125 0.250
Hg6 0.375 0.750 0.125
Hg7 0.625 0.250 0.875
Hg8 0.625 0.875 0.750
Hg9 0.750 0.125 0.375
Hg10 0.750 0.625 0.875
Hg11 0.875 0.625 0.250
Hg12 0.875 0.750 0.625

ΔE_f, eV/f.u.: 14.17



no.,calculated total energy (hartree per atom)
1,-0.1352
2,-0.1095
3,-0.1203
4,-0.1251
5,-0.1221
6,-0.1074
7,-0.1077
8,-0.1214
9,-0.1391
10,-0.1227